SrCdGa2Pd5: optimized geometry, PBE.

The total magnetization comes out at 0.0 μB per cell. Its space group is P4/mmm. The value obtained for the formation energy is -3.7 eV/f.u.

Lattice parameters (Å, degrees): 4.836 4.836 7.417 90.00 90.00 90.00
Fractional positions:
Sr1 0.000 0.000 0.500
Cd1 0.000 0.000 0.000
Ga1 0.500 0.500 0.169
Ga2 0.500 0.500 0.831
Pd1 0.000 0.500 0.212
Pd2 0.500 0.000 0.212
Pd3 0.000 0.500 0.788
Pd4 0.500 0.000 0.788
Pd5 0.500 0.500 0.500

Sr2CdGaPd: optimized geometry, PBE.

The total magnetization comes out at 0.0 μB per cell. Its space group is P4/mmm. The value obtained for the formation energy is -1.9 eV/f.u.

Lattice parameters (Å, degrees): 5.896 5.896 4.802 90.00 90.00 90.00
Fractional positions:
Sr1 0.000 0.500 0.000
Sr2 0.500 0.000 0.000
Ga1 0.000 0.000 0.500
Pd1 0.000 0.000 0.000
Cd1 0.500 0.500 0.500

SrCdGaPd2: optimized geometry, PBE.

The total magnetization comes out at 0.0 μB per cell. Its space group is P4/mmm. The value obtained for the formation energy is 0.2 eV/f.u.

Lattice parameters (Å, degrees): 4.784 5.739 4.784 90.00 90.00 90.00
Fractional positions:
Sr1 0.000 0.500 0.000
Ga1 0.000 0.000 0.000
Pd1 0.000 0.000 0.500
Pd2 0.500 0.000 0.000
Cd1 0.500 0.500 0.500

SrCdGaPd3: optimized geometry, PBE.

The total magnetization comes out at 0.0 μB per cell. Its space group is Cmcm. The value obtained for the formation energy is -2.5 eV/f.u.

Lattice parameters (Å, degrees): 5.914 7.177 7.202 119.89 90.00 90.00
Fractional positions:
Sr1 0.750 0.297 0.595
Sr2 0.250 0.703 0.405
Cd1 0.250 0.956 0.911
Cd2 0.750 0.044 0.089
Ga1 0.250 0.375 0.751
Ga2 0.750 0.625 0.249
Pd1 0.250 0.177 0.354
Pd2 0.000 0.306 0.000
Pd3 0.500 0.694 0.000
Pd4 0.500 0.306 0.000
Pd5 0.000 0.694 0.000
Pd6 0.750 0.823 0.646

TbCdGa2Pd5: optimized geometry, PBE.

The total magnetization comes out at 0.0 μB per cell. Its space group is P4/mmm. The value obtained for the formation energy is -5.5 eV/f.u.

Lattice parameters (Å, degrees): 4.159 4.159 9.323 90.00 90.00 90.00
Fractional positions:
Tb1 0.000 0.000 0.500
Cd1 0.000 0.000 0.000
Ga1 0.500 0.500 0.131
Ga2 0.500 0.500 0.869
Pd1 0.000 0.500 0.277
Pd2 0.500 0.000 0.277
Pd3 0.000 0.500 0.723
Pd4 0.500 0.000 0.723
Pd5 0.500 0.500 0.500

Tb2CdGa3Pd4: optimized geometry, PBE.

The total magnetization comes out at 0.0 μB per cell. Its space group is P-4m2. The value obtained for the formation energy is -7.2 eV/f.u.

Lattice parameters (Å, degrees): 4.053 4.053 11.755 90.00 90.00 90.00
Fractional positions:
Tb1 0.500 0.000 0.248
Tb2 0.000 0.500 0.752
Cd1 0.500 0.500 0.500
Ga1 0.000 0.000 0.500
Ga2 0.500 0.000 0.870
Ga3 0.000 0.500 0.130
Pd1 0.500 0.500 0.000
Pd2 0.000 0.000 0.000
Pd3 0.500 0.000 0.659
Pd4 0.000 0.500 0.341

Tb2CdGa2Pd5: optimized geometry, PBE.

The total magnetization comes out at 0.0 μB per cell. Its space group is P4/mbm. The value obtained for the formation energy is -7.0 eV/f.u.

Lattice parameters (Å, degrees): 3.787 9.900 9.900 90.00 90.00 90.00
Fractional positions:
Tb1 0.000 0.677 0.177
Tb2 0.000 0.323 0.823
Tb3 0.000 0.177 0.323
Tb4 0.000 0.823 0.677
Cd1 0.000 0.000 0.000
Cd2 0.000 0.500 0.500
Ga1 0.000 0.121 0.621
Ga2 0.000 0.879 0.379
Ga3 0.000 0.621 0.879
Ga4 0.000 0.379 0.121
Pd1 0.500 0.211 0.066
Pd2 0.500 0.789 0.934
Pd3 0.500 0.066 0.789
Pd4 0.500 0.711 0.434
Pd5 0.500 0.934 0.211
Pd6 0.500 0.289 0.566
Pd7 0.500 0.566 0.711
Pd8 0.500 0.434 0.289
Pd9 0.500 0.500 0.000
Pd10 0.500 0.000 0.500

TiCd2GaPd: optimized geometry, PBE.

The total magnetization comes out at 0.0 μB per cell. Its space group is P4/mmm. The value obtained for the formation energy is 2.1 eV/f.u.

Lattice parameters (Å, degrees): 5.036 4.661 5.036 90.00 90.00 90.00
Fractional positions:
Ti1 0.500 0.500 0.500
Ga1 0.000 0.500 0.000
Pd1 0.000 0.000 0.000
Cd1 0.000 0.000 0.500
Cd2 0.500 0.000 0.000

Total DFT energy (no corrections) per entry: -4.256, -2.877, -3.154, -3.949, -4.782, -4.719, -4.924, -3.163 eV per atom